First-principles (PBE) data for TaTeCl2 after structural relaxation, as listed in the Alexandria database.

Results
Relative energy among the computed polymorphs: 0.342 eV/atom
Energy: -5.0525 eV per atom
DOS at the Fermi energy: 3.20 states/eV/f.u.

Cell lengths 3.052, 4.753, 15.608 Å; angles 90.00, 90.00, 90.00 degrees
Space group Imm2 (No. 44)
Asymmetric unit:
Ta  0.000  0.000  0.000 (multiplicity 2)
Te  0.000  0.500  0.654 (multiplicity 2)
Cl  0.000  0.000  0.496 (multiplicity 2)
Cl  0.000  0.500  0.374 (multiplicity 2)


First-principles (PBE) data for TaTeCl2 after structural relaxation, as listed in the Alexandria database.

Results
Relative energy among the computed polymorphs: 0.347 eV/atom
Energy: -5.0482 eV per atom
DOS at the Fermi energy: 2.28 states/eV/f.u.

Cell lengths 3.184, 4.465, 7.583 Å; angles 90.00, 95.72, 90.00 degrees
Space group Pm (No. 6)
Asymmetric unit:
Ta  0.000  0.000  0.000 (multiplicity 1)
Te  0.852  0.500  0.265 (multiplicity 1)
Cl  0.045  0.500  0.875 (multiplicity 1)
Cl  0.463  0.000  0.738 (multiplicity 1)


First-principles (PBE) data for Ta2TeCl after structural relaxation, as listed in the Alexandria database.

Results
Relative energy among the computed polymorphs: 0.000 eV/atom
Energy: -7.3302 eV per atom
DOS at the Fermi energy: 2.18 states/eV/f.u.

Cell lengths 3.598, 5.039, 10.121 Å; angles 90.00, 90.00, 90.00 degrees
Space group Cmm2 (No. 35)
Asymmetric unit:
Ta  0.000  0.000  0.000 (multiplicity 2)
Ta  0.000  0.500  0.209 (multiplicity 2)
Te  0.000  0.500  0.779 (multiplicity 2)
Cl  0.000  0.000  0.397 (multiplicity 2)


First-principles (PBE) data for Ta2TeCl after structural relaxation, as listed in the Alexandria database.

Results
Relative energy among the computed polymorphs: 0.679 eV/atom
Energy: -6.6516 eV per atom
DOS at the Fermi energy: 3.71 states/eV/f.u.

Cell lengths 3.075, 5.693, 9.173 Å; angles 90.00, 90.00, 90.00 degrees
Space group Cmmm (No. 65)
Asymmetric unit:
Ta  0.000  0.000  0.244 (multiplicity 4)
Te  0.000  0.500  0.500 (multiplicity 2)
Cl  0.000  0.500  0.000 (multiplicity 2)


First-principles (PBE) data for Ta2TeCl after structural relaxation, as listed in the Alexandria database.

Results
Relative energy among the computed polymorphs: 0.646 eV/atom
Energy: -6.6846 eV per atom
DOS at the Fermi energy: 6.94 states/eV/f.u.

Cell lengths 6.665, 6.665, 6.665 Å; angles 90.00, 90.00, 90.00 degrees
Space group Fm-3m (No. 225)
Asymmetric unit:
Ta  0.250  0.250  0.250 (multiplicity 8)
Te  0.000  0.000  0.000 (multiplicity 4)
Cl  0.000  0.000  0.500 (multiplicity 4)


First-principles (PBE) data for TaTeCl2 after structural relaxation, as listed in the Alexandria database.

Results
Relative energy among the computed polymorphs: 0.030 eV/atom
Energy: -5.3650 eV per atom
DOS at the Fermi energy: 2.31 states/eV/f.u.

Cell lengths 5.533, 13.476, 3.187 Å; angles 90.00, 90.00, 90.00 degrees
Space group Cmmm (No. 65)
Asymmetric unit:
Ta  0.000  0.000  0.000 (multiplicity 2)
Te  0.000  0.500  0.000 (multiplicity 2)
Cl  0.000  0.141  0.500 (multiplicity 4)